This record from Alexandria describes crystalline Li2NbS3 at its relaxed geometry. The functional is PBE.

abc: 6.2055 6.2055 12.4508
angles: 95.61 95.61 119.51
Sites, in units of the cell vectors:
Li (0.0000, 0.5000, 0.5000)
Li (0.0833, 0.9167, 0.7500)
Li (0.1356, 0.3160, 0.0017)
Li (0.3160, 0.1356, 0.5017)
Li (0.5000, 0.0000, 0.0000)
Li (0.6840, 0.8644, 0.4983)
Li (0.8644, 0.6840, 0.9983)
Li (0.9167, 0.0833, 0.2500)
Nb (0.2772, 0.7228, 0.2500)
Nb (0.4434, 0.5566, 0.7500)
Nb (0.5566, 0.4434, 0.2500)
Nb (0.7228, 0.2772, 0.7500)
S (0.0477, 0.2308, 0.6352)
S (0.1193, 0.6017, 0.8643)
S (0.2308, 0.0477, 0.1352)
S (0.2997, 0.4649, 0.3802)
S (0.3983, 0.8807, 0.6357)
S (0.4649, 0.2997, 0.8802)
S (0.5351, 0.7003, 0.1198)
S (0.6017, 0.1193, 0.3643)
S (0.7003, 0.5351, 0.6198)
S (0.7692, 0.9523, 0.8648)
S (0.8807, 0.3983, 0.1357)
S (0.9523, 0.7692, 0.3648)

## Properties
- Uncorrected energy: -5.536 eV/atom
- Excess energy over the best structure of this formula in the dataset: 0.0 meV/atom
- Raw formation energy: -6.94 eV per formula unit

---

This record from Alexandria describes crystalline MnRe at its relaxed geometry. The functional is PBE.

abc: 2.6799 2.6799 7.2205
angles: 90.00 90.00 90.00
Sites, in units of the cell vectors:
Mn (0.2500, 0.2500, 0.1058)
Mn (0.7500, 0.7500, 0.8942)
Re (0.2500, 0.2500, 0.6471)
Re (0.7500, 0.7500, 0.3529)

## Properties
- Energy of formation from the pure elements: 0.10 eV/atom
- Uncorrected energy: -10.704 eV/atom